## AlCdGe (GGA-PBE)

Data for an optimized crystal structure of AlCdGe.

Values from the calculation:
- relative energy among the computed polymorphs (eV per atom) = 0.0493
- ΔE_f (eV per formula unit) = 0.500
- magnetic moment (μB per cell) = 0.0

```
AlCdGe
1.0
3.1009 0.0000 0.0000
0.0000 3.1009 0.0000
0.0000 0.0000 12.3647
Al Cd Ge
2 2 2
direct
0.0000 0.0000 0.0000 Al
0.5000 0.5000 0.5000 Al
0.0000 0.0000 0.3299 Cd
0.5000 0.5000 0.8299 Cd
0.0000 0.0000 0.6472 Ge
0.5000 0.5000 0.1472 Ge
```